Material: SnBCl2
Method: DFT, meta-GGA SCAN
State: single point on PBEsol structure

Geometry as extended XYZ:
```
8
Lattice="6.3968 0.0000 0.0000 3.1984 5.5398 0.0000 3.1984 1.8466 5.2230" Properties=species:S:1:pos:R:3 pbc="T T T"
Sn 3.1984 1.8466 1.3057
Sn 0.0000 0.0000 0.0000
Cl 6.3968 3.6932 0.6529
Cl 6.3968 1.8466 3.2644
Cl 7.9960 4.6165 3.2644
Cl 4.7976 4.6165 3.2644
B 9.5952 5.5398 3.9172
B 6.3968 3.6932 2.6115
```

Output
E_form (uncorrected)   0.571 eV per atom
ΔE to the lowest computed polymorph   0.000 eV/atom
SG   Fd-3m, No. 227
Total magnetization   0.00 μB/f.u.
Calculated volume   185 Å³/cell
Theoretical density   3.60 g/cm³